The following is a DFT calculation (GGA-PBE) of a geometry-optimized Sr2CuPt structure.

Summary:
energy of formation	-0.100	eV per atom
crystal system	tetragonal

Cell lengths 6.7849, 6.7849, 6.7849 Å; angles 107.00, 107.00, 114.53 degrees
Element x y z (fractional)
Sr  0.1146  0.1250  0.4896
Sr  0.3750  0.8854  0.0104
Sr  0.6354  0.6250  0.5104
Sr  0.8750  0.3646  0.9896
Cu  0.2500  0.7500  0.5000
Cu  0.5000  0.5000  0.0000
Pt  0.0000  0.0000  0.0000
Pt  0.7500  0.2500  0.5000

The following is a DFT calculation (GGA-PBE) of a geometry-optimized Rb3NiH structure.

Summary:
relative energy among the computed polymorphs	0.000	eV per atom
crystal system	cubic

Cell lengths 5.6336, 5.6336, 5.6336 Å; angles 90.00, 90.00, 90.00 degrees
Element x y z (fractional)
Rb  0.0000  0.0000  0.5000
Rb  0.0000  0.5000  0.0000
Rb  0.5000  0.0000  0.0000
Ni  0.5000  0.5000  0.5000
H  0.0000  0.0000  0.0000

The following is a DFT calculation (GGA-PBE) of a geometry-optimized MgCoPb2 structure.

Summary:
energy of formation	0.376	eV per atom
crystal system	monoclinic

Cell lengths 4.7596, 4.7596, 3.8878 Å; angles 90.42, 90.42, 89.93 degrees
Element x y z (fractional)
Mg  0.0000  0.0000  0.0000
Co  0.5000  0.5000  0.0000
Pb  0.0000  0.5000  0.5000
Pb  0.5000  0.0000  0.5000

The following is a DFT calculation (GGA-PBE) of a geometry-optimized HoEr3Se6 structure.

Summary:
E_form (uncorrected)	-1.8275	eV per atom
relative energy among the computed polymorphs	0.019	eV per atom
crystal system	trigonal

Cell lengths 8.3362, 8.3362, 8.3362 Å; angles 90.87, 90.87, 90.87 degrees
Element x y z (fractional)
Ho  0.0000  0.0000  0.0000
Ho  0.5000  0.5000  0.5000
Er  0.0702  0.5795  0.7454
Er  0.2546  0.9298  0.4205
Er  0.4205  0.2546  0.9298
Er  0.5795  0.7454  0.0702
Er  0.7454  0.0702  0.5795
Er  0.9298  0.4205  0.2546
Se  0.0373  0.9067  0.6792
Se  0.0933  0.3208  0.9627
Se  0.1837  0.5899  0.4141
Se  0.3208  0.9627  0.0933
Se  0.4101  0.5859  0.8163
Se  0.4141  0.1837  0.5899
Se  0.5859  0.8163  0.4101
Se  0.5899  0.4141  0.1837
Se  0.6792  0.0373  0.9067
Se  0.8163  0.4101  0.5859
Se  0.9067  0.6792  0.0373
Se  0.9627  0.0933  0.3208

Going through the records in order, we get size of the total moment values of 0.00, 0.01, 1.31, 0.00 Bohr magnetons per cell.
Going through the records in order, we get N(E_F) values of 2.41, 6.87, 5.03, 0.00 states/eV/f.u..